Record 1
## CdInSb2 (SCAN)

Data for a PBEsol-optimized structure of CdInSb2.

## Properties
Electronic total energy: -137.69 eV per cell
Calculated volume: 25.3 A^3/atom
Total moment: 0.00 μB/atom
Raw formation energy: 158 meV/atom

Structure (extended XYZ):
```
4
Lattice="3.915 0.000 0.000 0.000 5.036 0.000 0.000 0.000 5.133" Properties=species:S:1:pos:R:3 pbc="T T T"
Cd 0.000 0.000 0.000
In 1.957 2.518 0.000
Sb 0.000 2.518 2.566
Sb 1.957 0.000 2.566
```



Record 2
## LiGe2WS (SCAN)

Data for a PBEsol-optimized structure of LiGe2WS.

## Properties
Electronic total energy: -115.08 eV per cell
Calculated volume: 21.7 A^3/atom
Total moment: 0.39 μB/atom
Raw formation energy: 961 meV/atom

Structure (extended XYZ):
```
5
Lattice="4.971 0.000 0.000 0.000 4.971 0.000 0.000 0.000 4.386" Properties=species:S:1:pos:R:3 pbc="T T T"
Li 0.000 0.000 0.000
Ge 0.000 2.485 2.193
Ge 2.485 0.000 2.193
W 2.485 2.485 0.000
S 2.485 2.485 2.193
```



Record 3
## ZrSc2Mn (SCAN)

Data for a PBEsol-optimized structure of ZrSc2Mn.

## Properties
Electronic total energy: -154.19 eV per cell
Calculated volume: 20.0 A^3/atom
Formation enthalpy at 0 K: 83 meV per atom
Total moment: 0.65 μB/atom
Distance to the lowest polymorph of the same formula: 0.09 eV/f.u.

Structure (extended XYZ):
```
8
Lattice="6.135 0.000 0.000 0.000 8.344 0.000 0.000 0.000 3.129" Properties=species:S:1:pos:R:3 pbc="T T T"
Zr 0.000 0.000 0.000
Zr 3.068 4.172 0.000
Sc 1.534 2.086 1.565
Sc 1.534 6.258 1.565
Sc 4.602 2.086 1.565
Sc 4.602 6.258 1.565
Mn 0.000 4.172 0.000
Mn 3.068 0.000 0.000
```



Record 4
## HfScSCl2 (SCAN)

Data for a PBEsol-optimized structure of HfScSCl2.

## Properties
Electronic total energy: -107.07 eV per cell
Calculated volume: 22.9 A^3/atom
Total moment: 0.35 μB/atom
Raw formation energy: -915 meV/atom

Structure (extended XYZ):
```
5
Lattice="4.819 0.000 0.000 0.000 4.819 0.000 0.000 0.000 4.921" Properties=species:S:1:pos:R:3 pbc="T T T"
Hf 0.000 0.000 0.000
Sc 2.410 2.410 2.460
S 0.000 0.000 2.460
Cl 0.000 2.410 0.000
Cl 2.410 0.000 0.000
```



Record 5
## LiCuSbO4 (SCAN)

Data for a PBEsol-optimized structure of LiCuSbO4.

## Properties
Electronic total energy: -180.92 eV per cell
Calculated volume: 11.4 A^3/atom
Total moment: 0.14 μB/atom
Distance to the lowest polymorph of the same formula: 0.13 eV/f.u.
Raw formation energy: -1527 meV/atom

Structure (extended XYZ):
```
14
Lattice="-2.861 3.022 4.613 2.861 -3.022 4.613 2.861 3.022 -4.613" Properties=species:S:1:pos:R:3 pbc="T T T"
Li 0.000 1.511 1.444
Li 2.861 1.511 3.169
Cu 1.431 1.511 -2.307
Cu 1.431 -1.511 2.307
Sb 2.861 0.000 0.000
Sb 0.000 0.000 4.613
O 2.861 -0.180 1.991
O 2.861 2.842 -1.991
O 1.521 1.511 0.133
O 4.201 1.511 0.133
O -1.340 1.511 4.481
O 1.340 1.511 4.481
O 0.000 0.180 6.605
O 0.000 3.202 2.622
```



Record 6
## Zn3Fe (SCAN)

Data for a PBEsol-optimized structure of Zn3Fe.

## Properties
Electronic total energy: -176.34 eV per cell
Calculated volume: 12.8 A^3/atom
Formation enthalpy at 0 K: -26 meV per atom
Total moment: 0.59 μB/atom

Structure (extended XYZ):
```
12
Lattice="8.350 0.000 0.000 -4.175 7.232 0.000 0.000 0.000 2.535" Properties=species:S:1:pos:R:3 pbc="T T T"
Zn -2.088 3.616 0.000
Zn 0.000 2.411 0.845
Zn -2.088 6.026 0.845
Zn 2.088 1.205 1.690
Zn 4.175 0.000 0.000
Zn 2.088 3.616 0.000
Zn 2.088 6.026 0.845
Zn 6.263 1.205 1.690
Zn 4.175 4.821 1.690
Fe 0.000 0.000 0.000
Fe 0.000 4.821 1.690
Fe 4.175 2.411 0.845
```



Record 7
## Tl3BiI6 (SCAN)

Data for a PBEsol-optimized structure of Tl3BiI6.

## Properties
Electronic total energy: -2086.88 eV per cell
Calculated volume: 38.4 A^3/atom
Total moment: 0.00 μB/atom
Raw formation energy: -562 meV/atom

Structure (extended XYZ):
```
40
Lattice="13.364 0.000 0.000 0.000 8.915 0.000 -3.367 0.000 12.880" Properties=species:S:1:pos:R:3 pbc="T T T"
Tl -0.411 1.355 4.040
Tl -2.094 3.102 10.480
Tl -0.579 5.661 12.627
Tl 1.104 7.712 6.188
Tl 4.269 1.086 1.662
Tl 2.586 3.371 8.101
Tl 7.411 5.543 4.778
Tl 5.728 7.829 11.218
Tl 8.894 1.203 6.692
Tl 10.577 3.254 0.252
Tl 12.092 5.813 2.399
Tl 10.408 7.559 8.839
Bi 2.579 4.492 3.836
Bi 0.895 8.880 10.276
Bi 9.102 0.035 2.604
Bi 7.419 4.423 9.044
I -0.064 4.535 5.391
I -1.747 8.837 11.830
I -0.678 1.332 7.899
I 1.006 3.125 1.460
I 0.134 6.105 9.090
I 1.817 7.267 2.650
I 2.955 1.679 4.963
I 1.272 2.778 11.403
I 3.884 5.984 6.087
I 2.201 7.389 12.527
I 3.496 0.112 8.737
I 5.180 4.346 2.298
I 4.818 4.569 10.582
I 6.501 8.803 4.142
I 7.797 1.526 0.353
I 6.114 2.931 6.793
I 8.726 6.137 1.477
I 7.043 7.236 7.917
I 8.181 1.648 10.229
I 9.864 2.810 3.790
I 8.992 5.789 11.420
I 10.675 7.583 4.980
I 11.745 0.078 1.049
I 10.062 4.379 7.489
```



Record 8
## NbCo2BrCl (SCAN)

Data for a PBEsol-optimized structure of NbCo2BrCl.

## Properties
Electronic total energy: -90.07 eV per cell
Calculated volume: 18.2 A^3/atom
Total moment: 1.09 μB/atom
Raw formation energy: 1021 meV/atom

Structure (extended XYZ):
```
5
Lattice="3.957 0.000 0.000 0.000 3.957 0.000 0.000 0.000 5.797" Properties=species:S:1:pos:R:3 pbc="T T T"
Nb 0.000 0.000 0.000
Co 0.000 1.979 2.898
Co 1.979 0.000 2.898
Br 1.979 1.979 0.000
Cl 1.979 1.979 2.898
```



Record 9
## Ba2CrOs (SCAN)

Data for a PBEsol-optimized structure of Ba2CrOs.

## Properties
Electronic total energy: -503.98 eV per cell
Calculated volume: 31.9 A^3/atom
Formation enthalpy at 0 K: 343 meV per atom
Total moment: 0.22 μB/atom
Distance to the lowest polymorph of the same formula: 0.00 eV/f.u.

Structure (extended XYZ):
```
12
Lattice="4.041 0.000 0.000 -2.021 3.500 0.000 0.000 0.000 27.092" Properties=species:S:1:pos:R:3 pbc="T T T"
Ba 0.000 0.000 0.000
Ba 0.000 0.000 4.833
Ba 0.000 2.333 18.061
Ba 0.000 2.333 22.894
Ba 2.021 1.167 9.031
Ba 2.021 1.167 13.863
Cr 0.000 0.000 20.391
Cr 0.000 2.333 11.360
Cr 2.021 1.167 2.329
Os 0.000 0.000 11.563
Os 0.000 2.333 2.532
Os 2.021 1.167 20.594
```



Record 10
## TiNbIn3 (SCAN)

Data for a PBEsol-optimized structure of TiNbIn3.

## Properties
Electronic total energy: -145.68 eV per cell
Calculated volume: 28.4 A^3/atom
Formation enthalpy at 0 K: 727 meV per atom
Total moment: 0.41 μB/atom

Structure (extended XYZ):
```
5
Lattice="5.215 0.000 0.000 0.000 5.215 0.000 0.000 0.000 5.215" Properties=species:S:1:pos:R:3 pbc="T T T"
Ti 0.000 0.000 0.000
Nb 2.608 2.608 2.608
In 0.000 2.608 2.608
In 2.608 0.000 2.608
In 2.608 2.608 0.000
```



Record 11
## BaZr4Sb (SCAN)

Data for a PBEsol-optimized structure of BaZr4Sb.

## Properties
Electronic total energy: -197.10 eV per cell
Calculated volume: 25.0 A^3/atom
Total moment: 0.00 μB/atom
Raw formation energy: 417 meV/atom

Structure (extended XYZ):
```
6
Lattice="0.000 4.217 4.217 4.217 0.000 4.217 4.217 4.217 0.000" Properties=species:S:1:pos:R:3 pbc="T T T"
Ba 0.000 0.000 0.000
Zr 5.285 3.148 3.148
Zr 3.148 5.285 3.148
Zr 3.148 3.148 5.285
Zr 5.285 5.285 5.285
Sb 2.108 2.108 2.108
```



Record 12
## BeTl2Re (SCAN)

Data for a PBEsol-optimized structure of BeTl2Re.

## Properties
Electronic total energy: -217.69 eV per cell
Calculated volume: 18.6 A^3/atom
Formation enthalpy at 0 K: 619 meV per atom
Total moment: 0.00 μB/atom
Distance to the lowest polymorph of the same formula: 0.00 eV/f.u.

Structure (extended XYZ):
```
4
Lattice="3.158 0.000 0.000 0.000 3.158 0.000 0.000 0.000 7.458" Properties=species:S:1:pos:R:3 pbc="T T T"
Be 0.000 0.000 0.000
Tl 0.000 0.000 2.694
Tl 1.579 1.579 5.283
Re 1.579 1.579 0.696
```



Record 13
## SrMg2Au2 (SCAN)

Data for a PBEsol-optimized structure of SrMg2Au2.

## Properties
Electronic total energy: -349.34 eV per cell
Calculated volume: 23.2 A^3/atom
Formation enthalpy at 0 K: -827 meV per atom
Total moment: 0.00 μB/atom

Structure (extended XYZ):
```
10
Lattice="4.337 0.000 0.000 0.000 4.337 0.000 0.000 0.000 12.341" Properties=species:S:1:pos:R:3 pbc="T T T"
Sr 0.000 0.000 0.000
Sr 2.168 2.168 6.171
Mg 0.000 2.168 3.085
Mg 0.000 2.168 9.256
Mg 2.168 0.000 3.085
Mg 2.168 0.000 9.256
Au 0.000 0.000 4.776
Au 0.000 0.000 7.566
Au 2.168 2.168 1.395
Au 2.168 2.168 10.946
```



Record 14
## AgMo2P (SCAN)

Data for a PBEsol-optimized structure of AgMo2P.

## Properties
Electronic total energy: -331.51 eV per cell
Calculated volume: 15.5 A^3/atom
Formation enthalpy at 0 K: 258 meV per atom
Total moment: 0.00 μB/atom

Structure (extended XYZ):
```
12
Lattice="2.864 0.000 0.000 -1.432 2.480 0.000 0.000 0.000 26.172" Properties=species:S:1:pos:R:3 pbc="T T T"
Ag 0.000 0.000 0.000
Ag 0.000 1.653 17.448
Ag 1.432 0.827 8.724
Mo 0.000 0.000 13.359
Mo 0.000 0.000 19.849
Mo 0.000 1.653 4.635
Mo 0.000 1.653 11.125
Mo 1.432 0.827 2.401
Mo 1.432 0.827 22.083
P 0.000 0.000 6.394
P 0.000 1.653 23.842
P 1.432 0.827 15.118
```



Record 15
## BaAlRe3 (SCAN)

Data for a PBEsol-optimized structure of BaAlRe3.

## Properties
Electronic total energy: -251.11 eV per cell
Calculated volume: 20.4 A^3/atom
Formation enthalpy at 0 K: 1897 meV per atom
Total moment: 0.00 μB/atom

Structure (extended XYZ):
```
5
Lattice="4.675 0.000 0.000 0.000 4.675 0.000 0.000 0.000 4.675" Properties=species:S:1:pos:R:3 pbc="T T T"
Ba 0.000 0.000 0.000
Al 2.338 2.338 2.338
Re 0.000 2.338 2.338
Re 2.338 0.000 2.338
Re 2.338 2.338 0.000
```



Record 16
## ZrPSe2N (SCAN)

Data for a PBEsol-optimized structure of ZrPSe2N.

## Properties
Electronic total energy: -88.89 eV per cell
Calculated volume: 21.2 A^3/atom
Total moment: 0.04 μB/atom
Raw formation energy: 331 meV/atom

Structure (extended XYZ):
```
5
Lattice="5.239 0.000 0.000 0.000 5.239 0.000 0.000 0.000 3.865" Properties=species:S:1:pos:R:3 pbc="T T T"
Zr 0.000 0.000 0.000
P 2.619 2.619 1.932
Se 0.000 2.619 0.000
Se 2.619 0.000 0.000
N 0.000 0.000 1.932
```



Record 17
## As2PdSeO (SCAN)

Data for a PBEsol-optimized structure of As2PdSeO.

## Properties
Electronic total energy: -94.53 eV per cell
Calculated volume: 22.2 A^3/atom
Total moment: 0.48 μB/atom
Raw formation energy: 986 meV/atom

Structure (extended XYZ):
```
5
Lattice="4.723 0.000 0.000 0.000 4.723 0.000 0.000 0.000 4.982" Properties=species:S:1:pos:R:3 pbc="T T T"
As 0.000 2.361 0.000
As 2.361 0.000 0.000
Pd 0.000 0.000 0.000
Se 0.000 0.000 2.491
O 2.361 2.361 2.491
```



Record 18
## CaBeSi (SCAN)

Data for a PBEsol-optimized structure of CaBeSi.

## Properties
Electronic total energy: -25.13 eV per cell
Calculated volume: 18.6 A^3/atom
Total moment: 0.00 μB/atom
Raw formation energy: -366 meV/atom

Structure (extended XYZ):
```
3
Lattice="3.884 0.000 0.000 -1.942 3.364 0.000 0.000 0.000 4.265" Properties=species:S:1:pos:R:3 pbc="T T T"
Ca 0.000 0.000 0.000
Be 1.942 1.121 2.133
Si 0.000 2.242 2.133
```



Record 19
## La8Al7GaO24 (SCAN)

Data for a PBEsol-optimized structure of La8Al7GaO24.

## Properties
Electronic total energy: -708.51 eV per cell
Calculated volume: 10.8 A^3/atom
Total moment: 0.00 μB/atom
Raw formation energy: -3588 meV/atom

Structure (extended XYZ):
```
40
Lattice="7.566 0.000 0.000 0.000 7.566 0.000 0.000 0.000 7.566" Properties=species:S:1:pos:R:3 pbc="T T T"
La 1.887 1.887 1.887
La 1.887 1.887 5.679
La 1.887 5.679 1.887
La 1.887 5.679 5.679
La 5.679 1.887 1.887
La 5.679 1.887 5.679
La 5.679 5.679 1.887
La 5.679 5.679 5.679
Al 0.000 0.000 0.000
Al 0.000 0.000 3.783
Al 0.000 3.783 0.000
Al 0.000 3.783 3.783
Al 3.783 0.000 0.000
Al 3.783 0.000 3.783
Al 3.783 3.783 0.000
Ga 3.783 3.783 3.783
O 0.000 0.000 1.889
O 0.000 0.000 5.677
O 0.000 1.887 3.783
O 0.000 1.889 0.000
O 0.000 3.783 1.887
O 0.000 3.783 5.679
O 0.000 5.677 0.000
O 0.000 5.679 3.783
O 1.851 3.783 3.783
O 1.887 0.000 3.783
O 1.887 3.783 0.000
O 1.889 0.000 0.000
O 3.783 0.000 1.887
O 3.783 0.000 5.679
O 3.783 1.851 3.783
O 3.783 1.887 0.000
O 3.783 3.783 1.851
O 3.783 3.783 5.715
O 3.783 5.679 0.000
O 3.783 5.715 3.783
O 5.677 0.000 0.000
O 5.679 0.000 3.783
O 5.679 3.783 0.000
O 5.715 3.783 3.783
```



Record 20
## SrTa2Br (SCAN)

Data for a PBEsol-optimized structure of SrTa2Br.

## Properties
Electronic total energy: -172.21 eV per cell
Calculated volume: 24.1 A^3/atom
Total moment: 0.00 μB/atom
Distance to the lowest polymorph of the same formula: 2.60 eV/f.u.
Raw formation energy: 672 meV/atom

Structure (extended XYZ):
```
4
Lattice="3.943 0.000 0.000 0.000 3.943 0.000 0.000 0.000 6.197" Properties=species:S:1:pos:R:3 pbc="T T T"
Sr 0.000 0.000 0.000
Ta 0.000 1.971 3.099
Ta 1.971 0.000 3.099
Br 1.971 1.971 0.000
```